First-principles (PBE-GGA) data for BeP2PtO after structural relaxation, as listed in the Alexandria database.

abc: 4.7684 4.7684 2.8794
angles: 90.00 90.00 90.00
Closest atoms and distances in Å follow each position.
Sites, in units of the cell vectors:
Be 0.0000 0.0000 0.0000  2 O 1.44
P 0.0000 0.5000 0.0000  2 Be 2.38
P 0.5000 0.0000 0.0000  2 Be 2.38
Pt 0.5000 0.5000 0.5000  8 P 2.79, 2 Pt 2.88
O 0.0000 0.0000 0.5000  2 Be 1.44

Output
For the density of states at the Fermi level, the calculation gives 2.896 states/eV/cell. For the raw total energy, the calculation gives -26.09 eV/f.u. Its energy relative to the elements, uncorrected is -108 meV/atom. The value obtained for the total moment is 0.000 μB per atom.


First-principles (PBE-GGA) data for Ac3Pr2Sm4 after structural relaxation, as listed in the Alexandria database.

abc: 9.9073 9.9073 9.2376
angles: 91.00 91.00 22.10
Closest atoms and distances in Å follow each position.
Sites, in units of the cell vectors:
Ac 0.0000 0.0000 0.0000  4 Sm 3.77, 4 Ac 3.80-3.82, 4 Pr 3.81
Ac 0.1122 0.1122 0.6642  7 Sm 3.72-3.83, 3 Ac 3.80-3.82, 2 Pr 3.82
Ac 0.8878 0.8878 0.3358  7 Sm 3.72-3.83, 3 Ac 3.80-3.82, 2 Pr 3.82
Pr 0.3303 0.3303 0.9960  4 Pr 3.66-3.80, 4 Sm 3.72-3.84, 4 Ac 3.81-3.82
Pr 0.6697 0.6697 0.0040  4 Pr 3.66-3.80, 4 Sm 3.72-3.84, 4 Ac 3.81-3.82
Sm 0.2200 0.2200 0.3361  6 Sm 3.67-3.80, 3 Ac 3.72-3.77, 3 Pr 3.72-3.84
Sm 0.4412 0.4412 0.6682  5 Sm 3.67-3.89, 6 Ac 3.74-3.83, 1 Pr 3.75
Sm 0.5588 0.5588 0.3318  5 Sm 3.67-3.89, 6 Ac 3.74-3.83, 1 Pr 3.75
Sm 0.7800 0.7800 0.6639  6 Sm 3.67-3.80, 3 Ac 3.72-3.77, 3 Pr 3.72-3.84

Output
For the density of states at the Fermi level, the calculation gives 15.474 states/eV/cell. For the raw total energy, the calculation gives -40.43 eV/f.u. For the formation energy, the calculation gives 0.04 eV/atom. The value obtained for the total moment is 0.000 μB per atom.


First-principles (PBE-GGA) data for CeSmCdGe after structural relaxation, as listed in the Alexandria database.

abc: 5.2581 5.2581 5.2581
angles: 60.00 60.00 60.00
Closest atoms and distances in Å follow each position.
Sites, in units of the cell vectors:
Ce 0.0000 0.0000 0.0000  4 Cd 3.22, 4 Ge 3.22
Sm 0.5000 0.5000 0.5000  4 Ge 3.22, 4 Cd 3.22
Cd 0.7500 0.7500 0.7500  4 Ce 3.22, 4 Sm 3.22
Ge 0.2500 0.2500 0.2500  4 Ce 3.22, 4 Sm 3.22

Output
For the density of states at the Fermi level, the calculation gives 8.322 states/eV/cell. For the raw total energy, the calculation gives -17.85 eV/f.u. For the formation energy, the calculation gives -0.42 eV/atom. The value obtained for the total moment is 0.248 μB per atom.


First-principles (PBE-GGA) data for La3HgO after structural relaxation, as listed in the Alexandria database.

abc: 6.8188 6.8765 7.2835
angles: 90.85 117.80 99.78
Closest atoms and distances in Å follow each position.
Sites, in units of the cell vectors:
La 0.0000 0.0000 0.0000  2 O 2.39-2.50
La 0.0372 0.4178 0.6972  1 O 2.34
La 0.1891 0.5500 0.2704  1 O 2.35
La 0.4374 0.0811 0.5768  2 O 2.32-2.38
La 0.5825 0.3314 0.1136  2 Hg 3.28-3.38
La 0.8316 0.8627 0.4253  2 O 2.34-2.35
Hg 0.4018 0.8393 0.9610  5 La 3.25-3.38, 1 Hg 3.33
Hg 0.6209 0.5746 0.7440  5 La 3.28-3.40, 1 Hg 3.33
O 0.1085 0.8582 0.3223  4 La 2.34-2.39
O 0.8082 0.1052 0.6410  4 La 2.32-2.50

Output
For the density of states at the Fermi level, the calculation gives 9.818 states/eV/cell. For the raw total energy, the calculation gives -26.52 eV/f.u. Its energy relative to the elements, uncorrected is -1295 meV/atom. The value obtained for the total moment is 0.004 μB per atom.


First-principles (PBE-GGA) data for Cs2KAs2 after structural relaxation, as listed in the Alexandria database.

abc: 8.1522 8.1522 8.1522
angles: 140.06 140.06 57.76
Closest atoms and distances in Å follow each position.
Sites, in units of the cell vectors:
Cs 0.2500 0.7500 0.5000  4 As 3.66, 4 Cs 3.94
Cs 0.7500 0.2500 0.5000  4 As 3.66, 4 Cs 3.94
K 0.0000 0.0000 0.0000  8 As 4.12, 8 Cs 4.53
As 0.4160 0.4160 0.0000  1 As 2.40
As 0.5840 0.5840 0.0000  1 As 2.40

Output
For the density of states at the Fermi level, the calculation gives 4.767 states/eV/cell. For the raw total energy, the calculation gives -13.02 eV/f.u. For the formation energy, the calculation gives -0.18 eV/atom. The value obtained for the total moment is 0.165 μB per atom.


First-principles (PBE-GGA) data for RbMg2ScC after structural relaxation, as listed in the Alexandria database.

abc: 6.1040 6.1040 4.2720
angles: 90.00 90.00 90.00
Closest atoms and distances in Å follow each position.
Sites, in units of the cell vectors:
Rb 0.0000 0.0000 0.0000  8 Mg 3.73
Mg 0.0000 0.5000 0.5000  2 Sc 3.05
Mg 0.5000 0.0000 0.5000  2 Sc 3.05
Sc 0.5000 0.5000 0.5000  2 C 2.14
C 0.5000 0.5000 0.0000  2 Sc 2.14

Output
For the density of states at the Fermi level, the calculation gives 3.562 states/eV/cell. For the raw total energy, the calculation gives -15.20 eV/f.u. For the formation energy, the calculation gives 0.90 eV/atom. The value obtained for the total moment is 0.000 μB per atom.


First-principles (PBE-GGA) data for ZrInS2Cl after structural relaxation, as listed in the Alexandria database.

abc: 5.1091 5.1091 4.9012
angles: 90.00 90.00 90.00
Closest atoms and distances in Å follow each position.
Sites, in units of the cell vectors:
Zr 0.0000 0.0000 0.0000  8 S 3.54, 4 Cl 3.61
In 0.5000 0.5000 0.5000  2 Cl 2.45, 4 S 2.55
S 0.0000 0.5000 0.5000  2 In 2.55
S 0.5000 0.0000 0.5000  2 In 2.55
Cl 0.5000 0.5000 0.0000  2 In 2.45

Output
For the density of states at the Fermi level, the calculation gives 4.613 states/eV/cell. For the raw total energy, the calculation gives -21.16 eV/f.u. Its energy relative to the elements, uncorrected is 46 meV/atom. The value obtained for the total moment is 0.349 μB per atom.


First-principles (PBE-GGA) data for TaBeTc after structural relaxation, as listed in the Alexandria database.

abc: 4.2952 4.2952 2.7107
angles: 90.00 90.00 120.00
Closest atoms and distances in Å follow each position.
Sites, in units of the cell vectors:
Ta 0.0000 0.0000 0.0000  3 Tc 2.63, 2 Ta 2.71, 6 Be 2.72-2.95
Be 0.6667 0.3333 0.5862  3 Tc 2.58, 2 Be 2.71, 3 Ta 2.72
Tc 0.3333 0.6667 0.3266  3 Be 2.58, 3 Ta 2.63, 2 Tc 2.71

Output
For the density of states at the Fermi level, the calculation gives 1.644 states/eV/cell. For the raw total energy, the calculation gives -26.00 eV/f.u. For the formation energy, the calculation gives -0.02 eV/atom. The value obtained for the total moment is 0.000 μB per atom.


First-principles (PBE-GGA) data for NbInFeCu after structural relaxation, as listed in the Alexandria database.

abc: 4.4402 4.4402 4.4402
angles: 60.00 60.00 60.00
Closest atoms and distances in Å follow each position.
Sites, in units of the cell vectors:
Nb 0.0000 0.0000 0.0000  4 Fe 2.72, 4 Cu 2.72
In 0.5000 0.5000 0.5000  4 Fe 2.72, 4 Cu 2.72
Fe 0.2500 0.2500 0.2500  4 Nb 2.72, 4 In 2.72
Cu 0.7500 0.7500 0.7500  4 In 2.72, 4 Nb 2.72

Output
For the density of states at the Fermi level, the calculation gives 1.934 states/eV/cell. For the raw total energy, the calculation gives -25.05 eV/f.u. For the formation energy, the calculation gives 0.08 eV/atom. The value obtained for the total moment is 0.324 μB per atom.


First-principles (PBE-GGA) data for PrNp2RuN4 after structural relaxation, as listed in the Alexandria database.

abc: 6.0711 6.0711 11.6184
angles: 90.00 90.00 147.49
Closest atoms and distances in Å follow each position.
Sites, in units of the cell vectors:
Pr 0.1050 0.8950 0.7500  2 N 2.49
Pr 0.8950 0.1050 0.2500  2 N 2.49
Np 0.3703 0.6297 0.5539  6 N 2.21-2.45
Np 0.3703 0.6297 0.9461  6 N 2.21-2.45
Np 0.6297 0.3703 0.0539  6 N 2.21-2.45
Np 0.6297 0.3703 0.4461  6 N 2.21-2.45
Ru 0.1560 0.8440 0.2500  4 N 2.09-2.12
Ru 0.8440 0.1560 0.7500  4 N 2.09-2.12
N 0.0000 0.0000 0.0000  4 Np 2.36
N 0.0000 0.0000 0.5000  4 Np 2.36
N 0.2672 0.7328 0.1061  1 Ru 2.12, 1 Np 2.21
N 0.2672 0.7328 0.3939  1 Ru 2.12, 1 Np 2.21
N 0.4483 0.5517 0.7500  2 Ru 2.09
N 0.5517 0.4483 0.2500  2 Ru 2.09
N 0.7328 0.2672 0.6061  1 Ru 2.12, 1 Np 2.21
N 0.7328 0.2672 0.8939  1 Ru 2.12, 1 Np 2.21

Output
For the density of states at the Fermi level, the calculation gives 18.642 states/eV/cell. For the raw total energy, the calculation gives -80.46 eV/f.u. Its energy relative to the elements, uncorrected is -903 meV/atom. The value obtained for the total moment is 0.555 μB per atom.


First-principles (PBE-GGA) data for CaGa2Ir after structural relaxation, as listed in the Alexandria database.

abc: 5.7253 5.7253 5.7253
angles: 43.64 43.64 43.64
Closest atoms and distances in Å follow each position.
Sites, in units of the cell vectors:
Ca 0.0000 0.0000 0.0000  8 Ga 3.11-3.26
Ga 0.2104 0.2104 0.2104  3 Ir 2.55, 3 Ga 2.81
Ga 0.7896 0.7896 0.7896  3 Ir 2.55, 3 Ga 2.81
Ir 0.5000 0.5000 0.5000  6 Ga 2.55

Output
For the density of states at the Fermi level, the calculation gives 0.916 states/eV/cell. For the raw total energy, the calculation gives -19.13 eV/f.u. For the formation energy, the calculation gives -0.55 eV/atom. The value obtained for the total moment is 0.000 μB per atom.


First-principles (PBE-GGA) data for BaCdSb4 after structural relaxation, as listed in the Alexandria database.

abc: 6.4595 6.4595 6.4595
angles: 60.00 60.00 60.00
Closest atoms and distances in Å follow each position.
Sites, in units of the cell vectors:
Ba 0.0000 0.0000 0.0000  12 Sb 3.80, 4 Cd 3.96
Cd 0.2500 0.2500 0.2500  12 Sb 3.78, 4 Ba 3.96
Sb 0.1334 0.6222 0.6222  6 Sb 3.16-3.30
Sb 0.6222 0.1334 0.6222  6 Sb 3.16-3.30
Sb 0.6222 0.6222 0.1334  6 Sb 3.16-3.30
Sb 0.6222 0.6222 0.6222  6 Sb 3.16-3.30

Output
For the density of states at the Fermi level, the calculation gives 2.909 states/eV/cell. For the raw total energy, the calculation gives -20.78 eV/f.u. Its energy relative to the elements, uncorrected is -242 meV/atom. The value obtained for the total moment is 0.000 μB per atom.


First-principles (PBE-GGA) data for Sm2Mg3Au4 after structural relaxation, as listed in the Alexandria database.

abc: 8.6636 8.6636 7.9692
angles: 90.00 90.00 138.70
Closest atoms and distances in Å follow each position.
Sites, in units of the cell vectors:
Sm 0.1061 0.8939 0.9079  7 Au 3.15-3.30, 2 Mg 3.43
Sm 0.3939 0.6061 0.4079  7 Au 3.15-3.30, 2 Mg 3.43
Sm 0.6061 0.3939 0.5921  7 Au 3.15-3.30, 2 Mg 3.43
Sm 0.8939 0.1061 0.0921  7 Au 3.15-3.30, 2 Mg 3.43
Mg 0.0000 0.0000 0.5000  6 Au 2.65-2.91
Mg 0.0285 0.4715 0.7500  5 Au 2.74-2.86, 2 Mg 3.06
Mg 0.4715 0.0285 0.2500  5 Au 2.74-2.86, 2 Mg 3.06
Mg 0.5000 0.5000 0.0000  6 Au 2.65-2.91
Mg 0.5285 0.9715 0.7500  5 Au 2.74-2.86, 2 Mg 3.06
Mg 0.9715 0.5285 0.2500  5 Au 2.74-2.86, 2 Mg 3.06
Au 0.1782 0.8218 0.5408  5 Mg 2.79-2.91
Au 0.1978 0.3022 0.7500  3 Mg 2.65-2.74
Au 0.3022 0.1978 0.2500  3 Mg 2.65-2.74
Au 0.3218 0.6782 0.0408  5 Mg 2.79-2.91
Au 0.6782 0.3218 0.9592  5 Mg 2.79-2.91
Au 0.6978 0.8022 0.7500  3 Mg 2.65-2.74
Au 0.8022 0.6978 0.2500  3 Mg 2.65-2.74
Au 0.8218 0.1782 0.4592  5 Mg 2.79-2.91

Output
For the density of states at the Fermi level, the calculation gives 12.072 states/eV/cell. For the raw total energy, the calculation gives -33.09 eV/f.u. For the formation energy, the calculation gives -0.64 eV/atom. The value obtained for the total moment is 0.000 μB per atom.